MoRuSeN2: optimized geometry, PBE.

a = 3.867 Å, b = 3.867 Å, c = 5.350 Å
α = 90.00°, β = 90.00°, γ = 90.00°
Atoms (fractional coordinates):
Mo: 0.000 0.000 0.000
Ru: 0.500 0.500 0.500
Se: 0.000 0.000 0.500
N: 0.000 0.500 0.000
N: 0.500 0.000 0.000

Output
crystal system: tetragonal
DFT total energy: -7.14 eV per atom

MoRuSeN2: optimized geometry, PBE.

a = 3.813 Å, b = 3.813 Å, c = 5.367 Å
α = 90.00°, β = 90.00°, γ = 90.00°
Atoms (fractional coordinates):
Mo: 0.000 0.000 0.000
Ru: 0.500 0.500 0.500
Se: 0.500 0.500 0.000
N: 0.000 0.500 0.500
N: 0.500 0.000 0.500

Output
crystal system: tetragonal
DFT total energy: -6.96 eV per atom

MoRuSe2N: optimized geometry, PBE.

a = 5.042 Å, b = 5.042 Å, c = 3.756 Å
α = 90.00°, β = 90.00°, γ = 90.00°
Atoms (fractional coordinates):
Mo: 0.000 0.000 0.000
Ru: 0.500 0.500 0.500
Se: 0.000 0.500 0.000
Se: 0.500 0.000 0.000
N: 0.000 0.000 0.500

Output
crystal system: tetragonal
DFT total energy: -6.30 eV per atom

Te2MoRuN: optimized geometry, PBE.

a = 5.358 Å, b = 5.358 Å, c = 3.740 Å
α = 90.00°, β = 90.00°, γ = 90.00°
Atoms (fractional coordinates):
Te: 0.000 0.500 0.000
Te: 0.500 0.000 0.000
Mo: 0.000 0.000 0.000
Ru: 0.500 0.500 0.500
N: 0.000 0.000 0.500

Output
crystal system: tetragonal
DFT total energy: -6.12 eV per atom

TeMoRuN2: optimized geometry, PBE.

a = 3.891 Å, b = 3.891 Å, c = 5.794 Å
α = 90.00°, β = 90.00°, γ = 90.00°
Atoms (fractional coordinates):
Te: 0.000 0.000 0.000
Mo: 0.000 0.000 0.500
Ru: 0.500 0.500 0.000
N: 0.000 0.500 0.500
N: 0.500 0.000 0.500

Output
crystal system: tetragonal
DFT total energy: -7.05 eV per atom

TeMoRuN2: optimized geometry, PBE.

a = 3.879 Å, b = 3.879 Å, c = 5.734 Å
α = 90.00°, β = 90.00°, γ = 90.00°
Atoms (fractional coordinates):
Te: 0.000 0.000 0.000
Mo: 0.500 0.500 0.000
Ru: 0.000 0.000 0.500
N: 0.000 0.500 0.500
N: 0.500 0.000 0.500

Output
crystal system: tetragonal
DFT total energy: -6.76 eV per atom

| no. | distance to the lowest polymorph of the same formula (eV/atom) | total moment (μB/cell) | density of states at the Fermi level (states/eV per cell) |
| --- | --- | --- | --- |
| 1 | 0.000 | 2.815 | 5.4 |
| 2 | 0.183 | 3.202 | 3.6 |
| 3 | 0.068 | 2.778 | 7.4 |
| 4 | 0.111 | 1.487 | 8.2 |
| 5 | 0.000 | 2.311 | 5.7 |
| 6 | 0.289 | 3.131 | 4.0 |